Entry from Alexandria via LeMat-Bulk: a relaxed ZnNi2F6 crystal (PBE+U).

CIF file:
```
data_ZnNi2F6
_symmetry_space_group_name_H-M 'P 42/m n m'
_symmetry_Int_Tables_number 136
_symmetry_space_group_name_Hall '-P 4n 2n'
_cell_length_a 4.734
_cell_length_b 4.734
_cell_length_c 9.406
_cell_angle_alpha 90.00
_cell_angle_beta 90.00
_cell_angle_gamma 90.00
loop_
_atom_site_label
_atom_site_type_symbol
_atom_site_fract_x
_atom_site_fract_y
_atom_site_fract_z
Zn1 Zn 0.000 0.000 0.000
Ni1 Ni 0.000 0.000 0.333
F1 F 0.194 0.194 0.500
F2 F 0.197 0.197 0.169
```

E, eV/cell: -75.31
Total magnetic moment, μB/cell: 8.0
Theoretical density, g/cm3: 4.7